Entry 1:
First-principles (PBE-GGA) data for a relaxed structure of La2TbPm3Nd6, as listed in the Alexandria database.

abc: 6.3719 6.3719 12.2000
angles: 95.04 95.04 120.01
Sites, in units of the cell vectors:
1 La 0.1668 0.8332 0.0000
2 La 0.8332 0.1668 0.0000
3 Tb 0.5000 0.5000 0.0000
4 Pm 0.0000 0.0000 0.5000
5 Pm 0.3336 0.6664 0.5000
6 Pm 0.6664 0.3336 0.5000
7 Nd 0.0843 0.4163 0.7486
8 Nd 0.2514 0.2514 0.2516
9 Nd 0.4163 0.0843 0.7486
10 Nd 0.5837 0.9157 0.2514
11 Nd 0.7486 0.7486 0.7484
12 Nd 0.9157 0.5837 0.2514

M_tot	0.00	μB per formula unit
calculated formation energy	16	meV/atom
calculated volume	35.190	A^3/atom
crystal system	monoclinic

Entry 2:
First-principles (PBE-GGA) data for a relaxed structure of LaTbPm2Nd2, as listed in the Alexandria database.

abc: 7.1447 5.8048 10.0209
angles: 90.00 90.00 90.00
Sites, in units of the cell vectors:
1 La 0.0000 0.0000 0.0000
2 La 0.5000 0.0000 0.0000
3 Tb 0.2500 0.5000 0.1657
4 Tb 0.7500 0.5000 0.8343
5 Pm 0.2500 0.0000 0.3347
6 Pm 0.2500 0.5000 0.8309
7 Pm 0.7500 0.0000 0.6653
8 Pm 0.7500 0.5000 0.1691
9 Nd 0.0000 0.5000 0.5000
10 Nd 0.2500 0.0000 0.6683
11 Nd 0.5000 0.5000 0.5000
12 Nd 0.7500 0.0000 0.3317

M_tot	0.00	μB per formula unit
calculated formation energy	51	meV/atom
calculated volume	34.633	A^3/atom
crystal system	orthorhombic

Entry 3:
First-principles (PBE-GGA) data for a relaxed structure of LaTb2PmNd4, as listed in the Alexandria database.

abc: 6.3261 3.6669 12.1340
angles: 90.00 100.25 90.00
Sites, in units of the cell vectors:
1 La 0.0000 0.0000 0.0000
2 Tb 0.0000 0.5000 0.5000
3 Tb 0.5000 0.0000 0.5000
4 Pm 0.5000 0.5000 0.0000
5 Nd 0.2492 0.0000 0.7464
6 Nd 0.2513 0.5000 0.2548
7 Nd 0.7487 0.5000 0.7452
8 Nd 0.7508 0.0000 0.2536

M_tot	0.00	μB per formula unit
calculated formation energy	18	meV/atom
calculated volume	34.623	A^3/atom
crystal system	monoclinic

Entry 4:
First-principles (PBE-GGA) data for a relaxed structure of La4Tb2PmNd, as listed in the Alexandria database.

abc: 6.3851 3.6910 12.0762
angles: 90.00 100.21 90.00
Sites, in units of the cell vectors:
1 La 0.2493 0.0000 0.2530
2 La 0.2499 0.5000 0.7467
3 La 0.7501 0.5000 0.2533
4 La 0.7507 0.0000 0.7470
5 Tb 0.0000 0.0000 0.5000
6 Tb 0.5000 0.5000 0.5000
7 Pm 0.0000 0.5000 0.0000
8 Nd 0.5000 0.0000 0.0000

M_tot	0.00	μB per formula unit
calculated formation energy	12	meV/atom
calculated volume	35.012	A^3/atom
crystal system	monoclinic

Entry 5:
First-principles (PBE-GGA) data for a relaxed structure of LaTb2Pm6Nd3, as listed in the Alexandria database.

abc: 6.3298 6.3298 12.1380
angles: 95.01 95.01 119.99
Sites, in units of the cell vectors:
1 La 0.0000 0.0000 0.0000
2 Tb 0.3335 0.6665 0.0000
3 Tb 0.6665 0.3335 0.0000
4 Pm 0.0833 0.4177 0.2488
5 Pm 0.2511 0.2511 0.7510
6 Pm 0.4177 0.0833 0.2488
7 Pm 0.5823 0.9167 0.7512
8 Pm 0.7489 0.7489 0.2490
9 Pm 0.9167 0.5823 0.7512
10 Nd 0.1671 0.8329 0.5000
11 Nd 0.5000 0.5000 0.5000
12 Nd 0.8329 0.1671 0.5000

M_tot	0.00	μB per formula unit
calculated formation energy	16	meV/atom
calculated volume	34.563	A^3/atom
crystal system	monoclinic

Entry 6:
First-principles (PBE-GGA) data for a relaxed structure of La3Tb2PmNd6, as listed in the Alexandria database.

abc: 6.3731 6.3731 12.1965
angles: 95.04 95.04 120.04
Sites, in units of the cell vectors:
1 La 0.0000 0.0000 0.0000
2 La 0.3330 0.6670 0.0000
3 La 0.6670 0.3330 0.0000
4 Tb 0.1667 0.8333 0.5000
5 Tb 0.8333 0.1667 0.5000
6 Pm 0.5000 0.5000 0.5000
7 Nd 0.0842 0.4183 0.2546
8 Nd 0.2479 0.2479 0.7455
9 Nd 0.4183 0.0842 0.2546
10 Nd 0.5817 0.9158 0.7454
11 Nd 0.7521 0.7521 0.2545
12 Nd 0.9158 0.5817 0.7454

M_tot	0.00	μB per formula unit
calculated formation energy	17	meV/atom
calculated volume	35.181	A^3/atom
crystal system	monoclinic

Entry 7:
First-principles (PBE-GGA) data for a relaxed structure of La5TbPmNd2, as listed in the Alexandria database.

abc: 10.1902 10.1902 10.1902
angles: 127.34 127.34 77.69
Sites, in units of the cell vectors:
1 La 0.0000 0.0000 0.0000
2 La 0.0676 0.5676 0.9151
3 La 0.1525 0.0676 0.5000
4 La 0.3475 0.8475 0.9151
5 La 0.4324 0.3475 0.5000
6 La 0.5000 0.5000 0.0000
7 La 0.5676 0.6525 0.5000
8 La 0.6525 0.1525 0.0849
9 La 0.8475 0.9324 0.5000
10 La 0.9324 0.4324 0.0849
11 Tb 0.2500 0.7500 0.5000
12 Tb 0.7500 0.2500 0.5000
13 Pm 0.2500 0.2500 0.0000
14 Pm 0.7500 0.7500 0.0000
15 Nd 0.1168 0.3832 0.5000
16 Nd 0.3832 0.8832 0.2664
17 Nd 0.6168 0.1168 0.7336
18 Nd 0.8832 0.6168 0.5000

M_tot	0.00	μB per formula unit
calculated formation energy	257	meV/atom
calculated volume	36.025	A^3/atom
crystal system	tetragonal

Entry 8:
First-principles (PBE-GGA) data for a relaxed structure of LaTb2PmNd6, as listed in the Alexandria database.

abc: 9.0105 9.0105 9.8692
angles: 94.18 94.18 117.65
Sites, in units of the cell vectors:
1 La 0.0943 0.9057 0.7500
2 La 0.9057 0.0943 0.2500
3 Tb 0.2078 0.3052 0.9542
4 Tb 0.3052 0.2078 0.4542
5 Tb 0.6948 0.7922 0.5458
6 Tb 0.7922 0.6948 0.0458
7 Pm 0.4711 0.5289 0.2500
8 Pm 0.5289 0.4711 0.7500
9 Nd 0.0095 0.7955 0.3791
10 Nd 0.0674 0.5201 0.1815
11 Nd 0.2045 0.9905 0.1209
12 Nd 0.2561 0.6115 0.5558
13 Nd 0.3885 0.7439 0.9442
14 Nd 0.4799 0.9326 0.3185
15 Nd 0.5201 0.0674 0.6815
16 Nd 0.6115 0.2561 0.0558
17 Nd 0.7439 0.3885 0.4442
18 Nd 0.7955 0.0095 0.8791
19 Nd 0.9326 0.4799 0.8185
20 Nd 0.9905 0.2045 0.6209

M_tot	0.00	μB per formula unit
calculated formation energy	112	meV/atom
calculated volume	35.135	A^3/atom
crystal system	monoclinic

Entry 9:
First-principles (PBE-GGA) data for a relaxed structure of LaTb2PmNd5, as listed in the Alexandria database.

abc: 10.6199 10.6199 10.7579
angles: 90.00 90.00 148.51
Sites, in units of the cell vectors:
1 La 0.0839 0.9161 0.5000
2 La 0.9161 0.0839 0.0000
3 Tb 0.3835 0.6165 0.3741
4 Tb 0.3870 0.6130 0.7833
5 Tb 0.6130 0.3870 0.2833
6 Tb 0.6165 0.3835 0.8741
7 Pm 0.2991 0.7009 0.0618
8 Pm 0.7009 0.2991 0.5618
9 Nd 0.0218 0.9782 0.7909
10 Nd 0.1110 0.8890 0.0768
11 Nd 0.2041 0.7959 0.7559
12 Nd 0.2194 0.7806 0.3635
13 Nd 0.4834 0.5166 0.0764
14 Nd 0.5166 0.4834 0.5764
15 Nd 0.7806 0.2194 0.8635
16 Nd 0.7959 0.2041 0.2559
17 Nd 0.8890 0.1110 0.5768
18 Nd 0.9782 0.0218 0.2909

M_tot	0.00	μB per formula unit
calculated formation energy	143	meV/atom
calculated volume	35.207	A^3/atom
crystal system	orthorhombic

Entry 10:
First-principles (PBE-GGA) data for a relaxed structure of La5TbPm2Nd, as listed in the Alexandria database.

abc: 10.1075 10.1075 10.1075
angles: 126.42 126.42 79.20
Sites, in units of the cell vectors:
1 La 0.0000 0.0000 0.0000
2 La 0.0673 0.5673 0.9124
3 La 0.1548 0.0673 0.5000
4 La 0.3452 0.8452 0.9124
5 La 0.4327 0.3452 0.5000
6 La 0.5000 0.5000 0.0000
7 La 0.5673 0.6548 0.5000
8 La 0.6548 0.1548 0.0876
9 La 0.8452 0.9327 0.5000
10 La 0.9327 0.4327 0.0876
11 Tb 0.2500 0.7500 0.5000
12 Tb 0.7500 0.2500 0.5000
13 Pm 0.1151 0.3849 0.5000
14 Pm 0.3849 0.8849 0.2697
15 Pm 0.6151 0.1151 0.7303
16 Pm 0.8849 0.6151 0.5000
17 Nd 0.2500 0.2500 0.0000
18 Nd 0.7500 0.7500 0.0000

M_tot	0.00	μB per formula unit
calculated formation energy	260	meV/atom
calculated volume	35.917	A^3/atom
crystal system	tetragonal

Entry 11:
First-principles (PBE-GGA) data for a relaxed structure of La3TbPmNd, as listed in the Alexandria database.

abc: 10.8785 10.8785 6.8921
angles: 90.08 90.08 31.63
Sites, in units of the cell vectors:
1 La 0.0166 0.0166 0.2551
2 La 0.2806 0.2806 0.2434
3 La 0.3399 0.3399 0.7387
4 La 0.6601 0.6601 0.2613
5 La 0.7194 0.7194 0.7566
6 La 0.9834 0.9834 0.7449
7 Tb 0.1465 0.1465 0.5302
8 Tb 0.8535 0.8535 0.4698
9 Pm 0.1440 0.1440 0.9851
10 Pm 0.8560 0.8560 0.0149
11 Nd 0.4414 0.4414 0.2501
12 Nd 0.5586 0.5586 0.7499

M_tot	0.00	μB per formula unit
calculated formation energy	142	meV/atom
calculated volume	35.648	A^3/atom
crystal system	monoclinic

Entry 12:
First-principles (PBE-GGA) data for a relaxed structure of LaTbPmNd, as listed in the Alexandria database.

abc: 5.8233 5.8233 5.8233
angles: 60.00 60.00 60.00
Sites, in units of the cell vectors:
1 La 0.0000 0.0000 0.0000
2 Tb 0.2500 0.2500 0.2500
3 Pm 0.7500 0.7500 0.7500
4 Nd 0.5000 0.5000 0.5000

M_tot	0.00	μB per formula unit
calculated formation energy	121	meV/atom
calculated volume	34.909	A^3/atom
crystal system	cubic